# 1
# Zn2SiPt GGA-PBE relaxed
# E (Ry per atom): -0.2704
# Total magnetic moment (Bohr magnetons per cell): 0.00
# Density of states at the Fermi level (states/eV per cell): 0.9
# Space group: Cmmm (65)
data_Zn2SiPt
_chemical_formula_sum 'Zn2 Si1 Pt1'
_symmetry_space_group_name_H-M 'P 1'
_symmetry_Int_Tables_number 1
_cell_length_a 4.730
_cell_length_b 4.730
_cell_length_c 2.882
_cell_angle_alpha 90.00
_cell_angle_beta 90.00
_cell_angle_gamma 114.56
loop_
_symmetry_equiv_pos_as_xyz
'x,y,z'
loop_
_atom_site_label
_atom_site_type_symbol
_atom_site_fract_x
_atom_site_fract_y
_atom_site_fract_z
_atom_site_occupancy
Zn1 Zn 0.000 0.500 0.000 1
Zn2 Zn 0.500 0.000 0.000 1
Si1 Si 0.000 0.000 0.500 1
Pt1 Pt 0.500 0.500 0.500 1

***

# 2
# ZnSiPt4 GGA-PBE relaxed
# E (Ry per atom): -0.3696
# Total magnetic moment (Bohr magnetons per cell): 0.00
# Density of states at the Fermi level (states/eV per cell): 7.0
# Space group: F-43m (216)
data_ZnSiPt4
_chemical_formula_sum 'Zn1 Si1 Pt4'
_symmetry_space_group_name_H-M 'P 1'
_symmetry_Int_Tables_number 1
_cell_length_a 5.272
_cell_length_b 5.272
_cell_length_c 5.272
_cell_angle_alpha 60.00
_cell_angle_beta 60.00
_cell_angle_gamma 60.00
loop_
_symmetry_equiv_pos_as_xyz
'x,y,z'
loop_
_atom_site_label
_atom_site_type_symbol
_atom_site_fract_x
_atom_site_fract_y
_atom_site_fract_z
_atom_site_occupancy
Zn1 Zn 0.000 0.000 0.000 1
Si1 Si 0.250 0.250 0.250 1
Pt1 Pt 0.125 0.625 0.625 1
Pt2 Pt 0.625 0.125 0.625 1
Pt3 Pt 0.625 0.625 0.125 1
Pt4 Pt 0.625 0.625 0.625 1

***

# 3
# Zn2SiPt GGA-PBE relaxed
# E (Ry per atom): -0.2607
# Total magnetic moment (Bohr magnetons per cell): 0.00
# Density of states at the Fermi level (states/eV per cell): 2.0
# Space group: R-3m (166)
data_Zn2SiPt
_chemical_formula_sum 'Zn2 Si1 Pt1'
_symmetry_space_group_name_H-M 'P 1'
_symmetry_Int_Tables_number 1
_cell_length_a 9.411
_cell_length_b 9.411
_cell_length_c 9.411
_cell_angle_alpha 16.87
_cell_angle_beta 16.87
_cell_angle_gamma 16.87
loop_
_symmetry_equiv_pos_as_xyz
'x,y,z'
loop_
_atom_site_label
_atom_site_type_symbol
_atom_site_fract_x
_atom_site_fract_y
_atom_site_fract_z
_atom_site_occupancy
Zn1 Zn 0.246 0.246 0.246 1
Zn2 Zn 0.754 0.754 0.754 1
Si1 Si 0.000 0.000 0.000 1
Pt1 Pt 0.500 0.500 0.500 1

***

# 4
# Zn2SiPt GGA-PBE relaxed
# E (Ry per atom): -0.2714
# Total magnetic moment (Bohr magnetons per cell): 0.00
# Density of states at the Fermi level (states/eV per cell): 1.8
# Space group: I4/mmm (139)
data_Zn2SiPt
_chemical_formula_sum 'Zn2 Si1 Pt1'
_symmetry_space_group_name_H-M 'P 1'
_symmetry_Int_Tables_number 1
_cell_length_a 4.820
_cell_length_b 4.820
_cell_length_c 4.820
_cell_angle_alpha 133.42
_cell_angle_beta 133.42
_cell_angle_gamma 68.00
loop_
_symmetry_equiv_pos_as_xyz
'x,y,z'
loop_
_atom_site_label
_atom_site_type_symbol
_atom_site_fract_x
_atom_site_fract_y
_atom_site_fract_z
_atom_site_occupancy
Zn1 Zn 0.250 0.750 0.500 1
Zn2 Zn 0.750 0.250 0.500 1
Si1 Si 0.000 0.000 0.000 1
Pt1 Pt 0.500 0.500 0.000 1

***

# 5
# ZnSi2Pt GGA-PBE relaxed
# E (Ry per atom): -0.3390
# Total magnetic moment (Bohr magnetons per cell): 0.00
# Density of states at the Fermi level (states/eV per cell): 1.7
# Space group: Immm (71)
data_ZnSi2Pt
_chemical_formula_sum 'Zn1 Si2 Pt1'
_symmetry_space_group_name_H-M 'P 1'
_symmetry_Int_Tables_number 1
_cell_length_a 6.015
_cell_length_b 6.015
_cell_length_c 6.015
_cell_angle_alpha 154.00
_cell_angle_beta 136.98
_cell_angle_gamma 50.96
loop_
_symmetry_equiv_pos_as_xyz
'x,y,z'
loop_
_atom_site_label
_atom_site_type_symbol
_atom_site_fract_x
_atom_site_fract_y
_atom_site_fract_z
_atom_site_occupancy
Zn1 Zn 0.000 0.000 0.000 1
Si1 Si 0.295 0.795 0.500 1
Si2 Si 0.705 0.205 0.500 1
Pt1 Pt 0.500 0.500 0.000 1

***

# 6
# ZnSi2Pt GGA-PBE relaxed
# E (Ry per atom): -0.3329
# Total magnetic moment (Bohr magnetons per cell): 0.00
# Density of states at the Fermi level (states/eV per cell): 1.1
# Space group: Imm2 (44)
data_ZnSi2Pt
_chemical_formula_sum 'Zn1 Si2 Pt1'
_symmetry_space_group_name_H-M 'P 1'
_symmetry_Int_Tables_number 1
_cell_length_a 4.752
_cell_length_b 4.752
_cell_length_c 4.752
_cell_angle_alpha 136.35
_cell_angle_beta 124.21
_cell_angle_gamma 73.39
loop_
_symmetry_equiv_pos_as_xyz
'x,y,z'
loop_
_atom_site_label
_atom_site_type_symbol
_atom_site_fract_x
_atom_site_fract_y
_atom_site_fract_z
_atom_site_occupancy
Zn1 Zn 0.000 0.000 0.000 1
Si1 Si 0.509 0.509 0.000 1
Si2 Si 0.746 0.246 0.500 1
Pt1 Pt 0.269 0.769 0.500 1

***

Q: What is the formula in the second record?
A: ZnSiPt4